# 1
Here is crystalline Tm3ScSe6 at its relaxed geometry from the Alexandria database. Energies are from PBE.

Summary:
E_tot	-5.8492	eV per atom
polymorph energy (0 for the lowest one)	0.05	eV/f.u.
formation energy without anion corrections	-1784	meV/atom
crystal system	trigonal

a = 8.1943 Å, b = 8.1943 Å, c = 8.1943 Å
α = 90.86°, β = 90.86°, γ = 90.86°
Element x y z (fractional)
Tm 0.0725 0.7458 0.5810
Tm 0.2542 0.4190 0.9275
Tm 0.4190 0.9275 0.2542
Tm 0.5810 0.0725 0.7458
Tm 0.7458 0.5810 0.0725
Tm 0.9275 0.2542 0.4190
Sc 0.0000 0.0000 0.0000
Sc 0.5000 0.5000 0.5000
Se 0.0415 0.6868 0.9130
Se 0.0870 0.9585 0.3131
Se 0.1906 0.4142 0.5834
Se 0.3132 0.0870 0.9585
Se 0.4142 0.5833 0.1906
Se 0.4167 0.8094 0.5858
Se 0.5834 0.1906 0.4142
Se 0.5858 0.4167 0.8094
Se 0.6868 0.9130 0.0415
Se 0.8094 0.5858 0.4166
Se 0.9130 0.0415 0.6868
Se 0.9585 0.3131 0.0870



# 2
Here is crystalline CaY2Cl at its relaxed geometry from the Alexandria database. Energies are from PBE.

Summary:
E_tot	-4.3477	eV per atom
polymorph energy (0 for the lowest one)	2.31	eV/f.u.
formation energy without anion corrections	-154	meV/atom
crystal system	orthorhombic

a = 6.2419 Å, b = 6.2419 Å, c = 3.6916 Å
α = 90.00°, β = 90.00°, γ = 118.48°
Element x y z (fractional)
Ca 0.0000 0.0000 0.0000
Y 0.0000 0.5000 0.5000
Y 0.5000 0.0000 0.5000
Cl 0.5000 0.5000 0.0000